1.
DFT (PBE) results for a relaxed structure of AlAg2Ge2.

Calculated values
Spin magnetization = 0.00 μB per cell
DFT formation energy = 142 kJ/mol of formula units
Fermi-level density of states = 2.906 states/eV per cell
ΔE to the lowest computed polymorph = 23 meV/atom
Density = 6.68 g/cm3

Cell lengths 7.543, 7.543, 3.391 Å; angles 90.00, 90.00, 90.00 degrees
Fractional coordinates of all 10 atoms:
1 Ge 0.329 0.171 0.500
2 Ge 0.171 0.671 0.500
3 Ge 0.671 0.829 0.500
4 Ge 0.829 0.329 0.500
5 Ag 0.133 0.367 0.000
6 Ag 0.633 0.133 0.000
7 Ag 0.367 0.867 0.000
8 Ag 0.867 0.633 0.000
9 Al 0.000 0.000 0.000
10 Al 0.500 0.500 0.000

=====

2.
DFT (PBE) results for a relaxed structure of AlAg2Ge.

Calculated values
Spin magnetization = 0.00 μB per cell
DFT formation energy = 29 kJ/mol of formula units
Fermi-level density of states = 1.618 states/eV per cell
Density = 7.41 g/cm3

Cell lengths 2.900, 2.900, 8.407 Å; angles 90.00, 90.00, 90.00 degrees
Fractional coordinates of all 4 atoms:
1 Al 0.500 0.500 0.000
2 Ge 0.500 0.500 0.500
3 Ag 0.000 0.000 0.773
4 Ag 0.000 0.000 0.227

=====

3.
DFT (PBE) results for a relaxed structure of Al2AgGe2.

Calculated values
Spin magnetization = 0.00 μB per cell
DFT formation energy = 125 kJ/mol of formula units
Fermi-level density of states = 1.876 states/eV per cell
ΔE to the lowest computed polymorph = 73 meV/atom
Density = 5.12 g/cm3

Cell lengths 4.139, 4.139, 6.513 Å; angles 71.47, 71.47, 90.00 degrees
Fractional coordinates of all 5 atoms:
1 Al 0.608 0.608 0.783
2 Al 0.392 0.392 0.217
3 Ge 0.250 0.750 0.500
4 Ge 0.750 0.250 0.500
5 Ag 0.000 0.000 0.000

=====

4.
DFT (PBE) results for a relaxed structure of AlAg2Ge2.

Calculated values
Spin magnetization = 0.00 μB per cell
DFT formation energy = 130 kJ/mol of formula units
Fermi-level density of states = 3.328 states/eV per cell
ΔE to the lowest computed polymorph = 0 meV/atom
Density = 6.66 g/cm3

Cell lengths 8.098, 8.098, 2.948 Å; angles 90.00, 90.00, 90.00 degrees
Fractional coordinates of all 10 atoms:
1 Ge 0.332 0.832 0.000
2 Ge 0.668 0.168 0.000
3 Ge 0.168 0.332 0.000
4 Ge 0.832 0.668 0.000
5 Al 0.500 0.500 0.000
6 Al 0.000 0.000 0.000
7 Ag 0.130 0.630 0.500
8 Ag 0.870 0.370 0.500
9 Ag 0.630 0.870 0.500
10 Ag 0.370 0.130 0.500

=====

5.
DFT (PBE) results for a relaxed structure of Al2AgGe2.

Calculated values
Spin magnetization = 0.00 μB per cell
DFT formation energy = 90 kJ/mol of formula units
Fermi-level density of states = 5.239 states/eV per cell
ΔE to the lowest computed polymorph = 0 meV/atom
Density = 5.57 g/cm3

Cell lengths 7.550, 7.550, 3.212 Å; angles 90.00, 90.00, 90.00 degrees
Fractional coordinates of all 10 atoms:
1 Al 0.132 0.368 0.000
2 Al 0.632 0.132 0.000
3 Al 0.368 0.868 0.000
4 Al 0.868 0.632 0.000
5 Ag 0.000 0.000 0.000
6 Ag 0.500 0.500 0.000
7 Ge 0.669 0.831 0.500
8 Ge 0.331 0.169 0.500
9 Ge 0.831 0.331 0.500
10 Ge 0.169 0.669 0.500

=====

6.
DFT (PBE) results for a relaxed structure of AlAgGe2.

Calculated values
Spin magnetization = 0.00 μB per cell
DFT formation energy = 176 kJ/mol of formula units
Fermi-level density of states = 5.915 states/eV per cell
Density = 4.61 g/cm3

Cell lengths 5.902, 5.902, 7.145 Å; angles 65.61, 65.61, 90.00 degrees
Fractional coordinates of all 8 atoms:
1 Al 0.500 0.500 0.000
2 Al 0.250 0.750 0.500
3 Ge 0.618 0.125 0.250
4 Ge 0.875 0.868 0.750
5 Ge 0.375 0.382 0.750
6 Ge 0.132 0.625 0.250
7 Ag 0.750 0.250 0.500
8 Ag 0.000 0.000 0.000